Computed, not measured: a relaxed structure of Pm2U3Ru5 at the PBE level of DFT. Values from VASP.

As for the calculated density: 12.0 g/cm³. The calculated formation energy comes out at -0.216 eV/atom.

Cell and atoms, written as Quantum ESPRESSO input:
```
&SYSTEM
  ibrav = 0, nat = 20, ntyp = 3
/
ATOMIC_SPECIES
Pm 145.00 Pm.upf
U 238.03 U.upf
Ru 101.07 Ru.upf
CELL_PARAMETERS angstrom
-5.190 0.099 -3.700
3.710 -3.338 -6.387
-2.576 -7.326 2.323
ATOMIC_POSITIONS crystal
Pm 0.083 0.581 0.191
Pm 0.583 0.191 0.581
Pm 0.917 0.419 0.809
Pm 0.417 0.809 0.419
U 0.401 0.567 0.802
U 0.901 0.802 0.567
U 0.599 0.433 0.198
U 0.099 0.198 0.433
U 0.250 0.973 0.027
U 0.750 0.027 0.973
Ru 0.360 0.311 0.928
Ru 0.860 0.928 0.311
Ru 0.640 0.689 0.072
Ru 0.140 0.072 0.689
Ru 0.515 0.865 0.780
Ru 0.485 0.135 0.220
Ru 0.750 0.513 0.487
Ru 0.250 0.487 0.513
Ru 0.985 0.220 0.135
Ru 0.015 0.780 0.865
```



Computed, not measured: a relaxed structure of Ac3PrRh at the PBE level of DFT. Values from VASP.

As for the polymorph energy (0 for the lowest one): 0.101 eV/atom. As for the calculated density: 8.1 g/cm³. The calculated formation energy comes out at -0.197 eV/atom.

Cell and atoms, written as Quantum ESPRESSO input:
```
&SYSTEM
  ibrav = 0, nat = 20, ntyp = 3
/
ATOMIC_SPECIES
Ac 227.00 Ac.upf
Pr 140.91 Pr.upf
Rh 102.91 Rh.upf
CELL_PARAMETERS angstrom
-2.538 -6.484 1.325
3.283 0.989 11.132
-9.510 3.236 -2.383
ATOMIC_POSITIONS crystal
Ac 0.106 0.636 0.953
Ac 0.894 0.364 0.047
Ac 0.606 0.864 0.047
Ac 0.394 0.136 0.953
Ac 0.577 0.462 0.785
Ac 0.423 0.538 0.215
Ac 0.077 0.038 0.215
Ac 0.923 0.962 0.785
Ac 0.118 0.235 0.641
Ac 0.882 0.765 0.359
Ac 0.618 0.265 0.359
Ac 0.382 0.735 0.641
Pr 0.868 0.609 0.603
Pr 0.132 0.391 0.397
Pr 0.368 0.891 0.397
Pr 0.632 0.109 0.603
Rh 0.279 0.375 0.925
Rh 0.721 0.625 0.075
Rh 0.779 0.125 0.075
Rh 0.221 0.875 0.925
```